Record 1
TiCoBr2: PBEsol geometry, meta-GGA SCAN.

a b c (Å): 5.4985 5.4985 11.3960
angles (deg): 90.00 90.00 90.00
With the nearest neighbours (Å) after each atom.
Fractional coordinates of all 16 atoms:
Ti (0.0000, 0.0000, 0.0000)  4 Br 2.51
Ti (0.0000, 0.5000, 0.2500)  4 Br 2.51
Ti (0.5000, 0.0000, 0.7500)  4 Br 2.51
Ti (0.5000, 0.5000, 0.5000)  4 Br 2.51
Co (0.0000, 0.0000, 0.5000)  4 Br 2.32
Co (0.0000, 0.5000, 0.7500)  4 Br 2.32
Co (0.5000, 0.0000, 0.2500)  4 Br 2.32
Co (0.5000, 0.5000, 0.0000)  4 Br 2.32
Br (0.2191, 0.2500, 0.6250)  2 Co 2.32, 2 Ti 2.51
Br (0.2500, 0.7191, 0.8750)  2 Co 2.32, 2 Ti 2.51
Br (0.2500, 0.7809, 0.3750)  2 Co 2.32, 2 Ti 2.51
Br (0.2809, 0.2500, 0.1250)  2 Co 2.32, 2 Ti 2.51
Br (0.7191, 0.7500, 0.1250)  2 Co 2.32, 2 Ti 2.51
Br (0.7500, 0.2191, 0.3750)  2 Co 2.32, 2 Ti 2.51
Br (0.7500, 0.2809, 0.8750)  2 Co 2.32, 2 Ti 2.51
Br (0.7809, 0.7500, 0.6250)  2 Co 2.32, 2 Ti 2.51

Values from the calculation:
The calculation puts the total energy at -18.019 eV per atom. The value obtained for the mass density is 5.1 g/cm³. As for the density of states at the Fermi level: 0.5863 states/eV/atom. Its space group is I-42d.

---

Record 2
Li3V4FeO12: PBEsol geometry, meta-GGA SCAN.

a b c (Å): 4.9218 5.2809 7.2134
angles (deg): 95.36 90.01 90.03
With the nearest neighbours (Å) after each atom.
Fractional coordinates of all 20 atoms:
Li (0.0000, 0.0000, 0.0000)  6 O 2.00-2.15
Li (0.0008, 0.9993, 0.4982)  6 O 2.00-2.16
Li (0.5028, 0.4956, 0.0023)  6 O 2.01-2.15
V (0.0082, 0.5598, 0.2131)  3 O 1.71-1.78
V (0.4943, 0.0640, 0.7215)  3 O 1.74-1.79
V (0.5047, 0.0536, 0.2124)  3 O 1.71-1.78
V (0.9985, 0.5709, 0.7231)  3 O 1.72-1.79
Fe (0.5022, 0.4834, 0.5067)  6 O 1.98-2.05
O (0.1406, 0.6126, 0.4434)  1 V 1.78, 1 Fe 1.98
O (0.1859, 0.9138, 0.7534)  1 V 1.74
O (0.1918, 0.2975, 0.1325)  1 V 1.71
O (0.3081, 0.7966, 0.1350)  1 V 1.72
O (0.3167, 0.4156, 0.7522)  1 V 1.79
O (0.3790, 0.1163, 0.4433)  1 V 1.78
O (0.6185, 0.1059, 0.9475)  1 V 1.74
O (0.6851, 0.7926, 0.6272)  1 V 1.79, 1 Fe 1.99
O (0.6871, 0.4275, 0.2625)  1 V 1.78, 1 Fe 1.98
O (0.8087, 0.3001, 0.6313)  1 V 1.78
O (0.8117, 0.9193, 0.2538)  1 V 1.71
O (0.8823, 0.6085, 0.9488)  1 V 1.72

Values from the calculation:
The calculation puts the total energy at -10.935 eV per atom. The calculation puts the distance to the lowest polymorph of the same formula at 10 meV/atom. The value obtained for the mass density is 4.2 g/cm³. As for the density of states at the Fermi level: 0.2740 states/eV/atom. Its space group is P1.

---

> Among the records above, which one has the lowest total energy?

TiCoBr2

---

> Look up the total energy of the second one.

-10.935 eV per atom

---

> Number 2 is which compound?

Li3V4FeO12